No. 1
The following is a DFT calculation (PBE-GGA) of Sm2Ho2Cu after structural relaxation.

Unit cell a=3.519 b=3.519 c=22.627 alpha=90.00 beta=90.00 gamma=90.00
Space group I4/mmm (No. 139)
One atom of each set of equivalent atoms:
1 Sm 0.000 0.000 0.192 [4 per cell]
2 Ho 0.000 0.000 0.426 [4 per cell]
3 Cu 0.000 0.000 0.000 [2 per cell]

Values from the calculation:
* VASP energy: -4.6144 eV/atom
* crystal system: tetragonal

No. 2
The following is a DFT calculation (PBE-GGA) of RbAgBr3 after structural relaxation.

Unit cell a=5.740 b=5.740 c=24.604 alpha=90.00 beta=90.00 gamma=90.00
Space group I-4m2 (No. 119)
One atom of each set of equivalent atoms:
1 Rb 0.000 0.000 0.090 [4 per cell]
2 Ag 0.000 0.000 0.500 [2 per cell]
3 Ag 0.000 0.500 0.250 [2 per cell]
4 Br 0.000 0.243 0.341 [8 per cell]
5 Br 0.000 0.500 0.508 [4 per cell]

Values from the calculation:
* uncorrected formation energy: -0.78 eV/atom
* crystal system: tetragonal

No. 3
The following is a DFT calculation (PBE-GGA) of HoTm2Tl after structural relaxation.

Unit cell a=3.5461 b=3.5461 c=32.5073 alpha=90.00 beta=90.00 gamma=120.00
Space group R3m (No. 160, hexagonal axes)
One atom of each set of equivalent atoms:
1 Ho 0.0000 0.0000 0.0000 [3 per cell]
2 Tm 0.0000 0.0000 0.5800 [3 per cell]
3 Tm 0.0000 0.0000 0.7536 [3 per cell]
4 Tl 0.0000 0.0000 0.1667 [3 per cell]

Values from the calculation:
* crystal system: trigonal
* offset from the most stable computed form: 54 meV/atom

No. 4
The following is a DFT calculation (PBE-GGA) of BaInAg2Au after structural relaxation.

Unit cell a=4.472 b=4.655 c=12.609 alpha=90.00 beta=90.00 gamma=90.00
Space group Imm2 (No. 44)
One atom of each set of equivalent atoms:
1 Ba 0.000 0.000 0.000 [2 per cell]
2 In 0.000 0.500 0.752 [2 per cell]
3 Ag 0.000 0.000 0.618 [2 per cell]
4 Ag 0.000 0.500 0.258 [2 per cell]
5 Au 0.000 0.000 0.396 [2 per cell]

Values from the calculation:
* VASP energy: -3.0779 eV/atom
* crystal system: orthorhombic